# Li4YOsO6

A relaxed Li4YOsO6 crystal (PBE, OQMD via LeMat-Bulk).

abc: 5.3574 5.3574 5.2122
angles: 99.44 99.44 120.34
Element x y z (fractional)
Li  0.0000  0.0000  0.0000
Li  0.3755  0.6245  0.0000
Li  0.6842  0.3158  0.0000
Li  0.8516  0.1484  0.5000
Y  0.1858  0.8142  0.5000
Os  0.5180  0.4820  0.5000
O  0.1319  0.3972  0.2572
O  0.2835  0.2567  0.7346
O  0.4479  0.1083  0.2585
O  0.6028  0.8681  0.7428
O  0.7433  0.7165  0.2654
O  0.8917  0.5521  0.7415

Its space-group type is No. 5. For the final energy, the calculation gives -0.242 Ha/atom.